Entry from Alexandria via LeMat-Bulk: an optimized crystal structure of Tm6InSe5 (PBE). Values from VASP.

Results
Volume in Å³/atom: 24.076
N(E_F) in states/eV/cell: 5.759
Crystal system: monoclinic
Space group: C2/m
Energy in eV/atom: -5.36

```
&SYSTEM
  ibrav = 0, nat = 12, ntyp = 3
/
ATOMIC_SPECIES
Se 78.96 Se.upf
Tm 168.93 Tm.upf
In 114.82 In.upf
ATOMIC_POSITIONS crystal
Se 0.000 0.667 0.667
Se 0.500 0.833 0.333
Se 0.000 0.333 0.333
Se 0.500 0.167 0.667
Se 0.500 0.500 0.000
Tm 0.748 0.420 0.663
Tm 0.251 0.253 0.000
Tm 0.748 0.083 0.337
Tm 0.252 0.580 0.337
Tm 0.749 0.747 0.000
Tm 0.252 0.917 0.663
In 0.000 0.000 0.000
CELL_PARAMETERS angstrom
-3.010 -3.871 5.083
5.060 -2.902 4.031
2.419 3.441 5.676
```